## GdNpSn2 (PBE-GGA)

Data for a relaxed GdNpSn2 crystal.

Calculated values
The value obtained for the calculated total energy is -9.00 eV per atom. Its formation energy from the elements is -238 meV per atom. The energy above the most stable polymorph in this dataset is 117 meV per atom. The crystal system is tetragonal. The total magnetization comes out at 2.4 μB per formula unit.

Cell lengths 4.933, 4.933, 4.372 Å; angles 90.00, 90.00, 90.00 degrees
Fractional coordinates of all 4 atoms:
Gd 0.000 0.000 0.000
Np 0.500 0.500 0.000
Sn 0.000 0.500 0.500
Sn 0.500 0.000 0.500